Li2TeRu | PBE | optimized geometry

It has space group R-3m (No. 166, hexagonal axes), with a = 3.0036 Å, b = 3.0036 Å, c = 27.2949 Å, α = 90.00°, β = 90.00° and γ = 120.00°. Symmetry generates all atoms from Li at (0.0000, 0.0000, 0.2418), Te at (0.0000, 0.0000, 0.0000) and Ru at (0.0000, 0.0000, 0.5000).

The formation energy (no corrections) is 176 meV per atom. The value obtained for the total energy is -3.885 eV per atom.



Li2TeRu | PBE | optimized geometry

It has space group Cmmm (No. 65), with a = 5.1945 Å, b = 8.5685 Å, c = 3.0333 Å, α = 90.00°, β = 90.00° and γ = 90.00°. Symmetry generates all atoms from Li at (0.2500, 0.2500, 0.0000), Te at (0.0000, 0.0000, 0.5000) and Ru at (0.0000, 0.5000, 0.5000).

The formation energy (no corrections) is -5 meV per atom. The value obtained for the total energy is -4.066 eV per atom.



LiTe2Ru | PBE | optimized geometry

It has space group Cm (No. 8), with a = 8.7509 Å, b = 3.2767 Å, c = 6.7104 Å, α = 90.00°, β = 99.99° and γ = 90.00°. Symmetry generates all atoms from Li at (0.0000, 0.0000, 0.0000), Te at (0.2509, 0.0000, 0.8686), Te at (0.4988, 0.0000, 0.3540) and Ru at (0.2676, 0.5000, 0.1972).

The formation energy (no corrections) is -187 meV per atom. The value obtained for the total energy is -4.555 eV per atom.



LiTe2Ru | PBE | optimized geometry

It has space group Pmm2 (No. 25), with a = 3.1806 Å, b = 3.6389 Å, c = 7.5024 Å, α = 90.00°, β = 90.00° and γ = 90.00°. Symmetry generates all atoms from Li at (0.0000, 0.0000, 0.0000), Te at (0.0000, 0.0000, 0.3657), Te at (0.5000, 0.5000, 0.8259) and Ru at (0.5000, 0.5000, 0.1966).

The formation energy (no corrections) is -213 meV per atom. The value obtained for the total energy is -4.581 eV per atom.



Li2TeRu | PBE | optimized geometry

It has space group I-4m2 (No. 119), with a = 4.0476 Å, b = 4.0476 Å, c = 7.4359 Å, α = 90.00°, β = 90.00° and γ = 90.00°. Symmetry generates all atoms from Li at (0.0000, 0.0000, 0.0000), Li at (0.0000, 0.5000, 0.2500), Te at (0.0000, 0.5000, 0.7500) and Ru at (0.0000, 0.0000, 0.5000).

The formation energy (no corrections) is -246 meV per atom. The value obtained for the total energy is -4.308 eV per atom.



Li2TeRu | PBE | optimized geometry

It has space group P4mm (No. 99), with a = 3.3871 Å, b = 3.3871 Å, c = 5.8230 Å, α = 90.00°, β = 90.00° and γ = 90.00°. Symmetry generates all atoms from Li at (0.0000, 0.0000, 0.0000), Li at (0.5000, 0.5000, 0.2343), Te at (0.5000, 0.5000, 0.7089) and Ru at (0.0000, 0.0000, 0.4924).

The formation energy (no corrections) is -129 meV per atom. The value obtained for the total energy is -4.190 eV per atom.



What is the formation energy (no corrections) in the sixth record? -129 meV per atom